! Rb3InAu2 | Alexandria via LeMat-Bulk | PBE-GGA | optimized geometry; values from VASP
! - Energy of formation: -182.0 meV per atom
! - Calculated total energy: -2.215 eV per atom
! - Space group: P2_1/c (14)
! - D(E_F): 2.75 states/eV/f.u.
! - Total magnetization: 0.00 μB per formula unit
&SYSTEM
  ibrav = 0, nat = 24, ntyp = 3
/
ATOMIC_SPECIES
Rb 85.47 Rb.upf
In 114.82 In.upf
Au 196.97 Au.upf
ATOMIC_POSITIONS crystal
Rb 0.214 0.218 0.327
Rb 0.214 0.282 0.827
Rb 0.246 0.540 0.144
Rb 0.246 0.960 0.644
Rb 0.248 0.580 0.531
Rb 0.248 0.920 0.031
Rb 0.752 0.080 0.969
Rb 0.752 0.420 0.469
Rb 0.754 0.040 0.356
Rb 0.754 0.460 0.856
Rb 0.786 0.718 0.173
Rb 0.786 0.782 0.673
In 0.395 0.604 0.901
In 0.395 0.896 0.401
In 0.605 0.104 0.599
In 0.605 0.396 0.099
Au 0.069 0.567 0.785
Au 0.069 0.933 0.285
Au 0.437 0.231 0.164
Au 0.437 0.269 0.664
Au 0.563 0.731 0.336
Au 0.563 0.769 0.836
Au 0.931 0.067 0.715
Au 0.931 0.433 0.215
CELL_PARAMETERS angstrom
9.670 0.000 0.000
0.000 10.912 0.000
-5.501 0.000 10.089

=====

! Er2TmIr | Alexandria via LeMat-Bulk | PBE-GGA | optimized geometry; values from VASP
! - Energy of formation: -120.5 meV per atom
! - Calculated total energy: -5.735 eV per atom
! - Space group: R-3m (166)
! - D(E_F): 5.06 states/eV/f.u.
! - Total magnetization: 0.53 μB per formula unit
&SYSTEM
  ibrav = 0, nat = 4, ntyp = 3
/
ATOMIC_SPECIES
Er 167.26 Er.upf
Tm 168.93 Tm.upf
Ir 192.22 Ir.upf
ATOMIC_POSITIONS crystal
Er 0.112 0.112 0.112
Er 0.888 0.888 0.888
Tm 0.000 0.000 0.000
Ir 0.500 0.500 0.500
CELL_PARAMETERS angstrom
1.842 1.064 10.383
-1.842 1.064 10.383
0.000 -2.127 10.383

=====

! AsRuCl | Alexandria via LeMat-Bulk | PBE-GGA | optimized geometry; values from VASP
! - Calculated total energy: -4.368 eV per atom
! - Energy relative to the elements, uncorrected: 2.7 eV per formula unit
! - Space group: F-43m (216)
! - D(E_F): 2.86 states/eV/f.u.
! - Total magnetization: 0.99 μB per formula unit
&SYSTEM
  ibrav = 0, nat = 3, ntyp = 3
/
ATOMIC_SPECIES
As 74.92 As.upf
Ru 101.07 Ru.upf
Cl 35.45 Cl.upf
ATOMIC_POSITIONS crystal
As 0.000 0.000 0.000
Ru 0.250 0.250 0.250
Cl 0.750 0.750 0.750
CELL_PARAMETERS angstrom
0.000 3.096 3.096
3.096 0.000 3.096
3.096 3.096 0.000